Record 1
A plane-wave DFT calculation with PBE-GGA was carried out for an optimized crystal structure of Pm4HoTl.

Cell lengths 4.1416, 4.1416, 11.2404 Å; angles 90.00, 90.00, 90.00 degrees
Last column: nearest neighbours and their distance in Å.
Space group P4/mmm (No. 123)
Unique sites:
Pm1 0.0000 0.0000 0.1477 [2 per cell]  5 Pm 3.32-3.60, 4 Tl 3.37
Pm2 0.5000 0.5000 0.3346 [2 per cell]  4 Ho 3.47, 5 Pm 3.60-3.72, 1 Tl 3.76
Ho1 0.0000 0.0000 0.5000 [1 per cell]  8 Pm 3.47
Tl1 0.5000 0.5000 0.0000 [1 per cell]  10 Pm 3.37-3.76

VASP energy = -26.20 eV per cell
ΔE_f = -4 kJ per mole of atoms
total magnetic moment = 0.0 μB per formula unit

Record 2
A plane-wave DFT calculation with PBE-GGA was carried out for an optimized crystal structure of NbHgTe3.

Cell lengths 5.5118, 5.5118, 5.5118 Å; angles 90.00, 90.00, 90.00 degrees
Last column: nearest neighbours and their distance in Å.
Space group Pm-3m (No. 221)
Unique sites:
Nb1 0.0000 0.0000 0.0000 [1 per cell]  12 Te 3.90
Hg1 0.5000 0.5000 0.5000 [1 per cell]  6 Te 2.76
Te1 0.0000 0.5000 0.5000 [3 per cell]  2 Hg 2.76

VASP energy = -14.21 eV per cell
total magnetic moment = 2.3 μB per formula unit
ΔE to the lowest computed polymorph = 1.053 eV/atom

Record 3
A plane-wave DFT calculation with PBE-GGA was carried out for an optimized crystal structure of Na2B2Pt5Au.

Cell lengths 9.9897, 9.9897, 3.0103 Å; angles 90.00, 90.00, 90.00 degrees
Last column: nearest neighbours and their distance in Å.
Space group P4/mbm (No. 127)
Unique sites:
Na1 0.1791 0.3209 0.0000 [4 per cell]  3 B 2.77-3.09, 10 Pt 2.94-3.03, 2 Na 3.01
B1 0.1250 0.6250 0.0000 [4 per cell]  6 Pt 2.17-2.32
Pt1 0.0000 0.5000 0.5000 [2 per cell]  4 B 2.32
Pt2 0.0676 0.7708 0.5000 [8 per cell]  2 B 2.17
Au1 0.0000 0.0000 0.0000 [2 per cell]  8 Pt 2.82, 2 Au 3.01

VASP energy = -104.95 eV per cell
ΔE_f = -29 kJ per mole of atoms
total magnetic moment = 0.0 μB per formula unit

Record 4
A plane-wave DFT calculation with PBE-GGA was carried out for an optimized crystal structure of PuAs2Pb.

Cell lengths 4.8722, 4.8722, 3.8763 Å; angles 90.00, 90.00, 90.00 degrees
Last column: nearest neighbours and their distance in Å.
Space group P4/mmm (No. 123)
Unique sites:
Pu1 0.0000 0.0000 0.0000 [1 per cell]  8 As 3.11, 4 Pb 3.45
As1 0.0000 0.5000 0.5000 [2 per cell]  4 Pb 3.11, 4 Pu 3.11, 4 As 3.45
Pb1 0.5000 0.5000 0.0000 [1 per cell]  8 As 3.11, 4 Pu 3.45

VASP energy = -28.92 eV per cell
ΔE_f = -38 kJ per mole of atoms
total magnetic moment = 4.7 μB per formula unit
ΔE to the lowest computed polymorph = 0.004 eV/atom

Record 5
A plane-wave DFT calculation with PBE-GGA was carried out for an optimized crystal structure of ScTa2AlS.

Cell lengths 4.7887, 4.7887, 4.9722 Å; angles 90.00, 90.00, 90.00 degrees
Last column: nearest neighbours and their distance in Å.
Space group P4/mmm (No. 123)
Unique sites:
Sc1 0.0000 0.0000 0.0000 [1 per cell]  4 Ta 2.39, 2 Al 2.49
Ta1 0.0000 0.5000 0.0000 [2 per cell]  2 Sc 2.39
Al1 0.0000 0.0000 0.5000 [1 per cell]  2 Sc 2.49
S1 0.5000 0.5000 0.5000 [1 per cell]  4 Al 3.39, 8 Ta 3.45

VASP energy = -29.03 eV per cell
total magnetic moment = 0.0 μB per formula unit

Record 6
A plane-wave DFT calculation with PBE-GGA was carried out for an optimized crystal structure of Be2AsPt.

Cell lengths 3.2439, 3.8315, 4.0792 Å; angles 90.00, 90.00, 90.00 degrees
Last column: nearest neighbours and their distance in Å.
Space group Pmmm (No. 47)
Unique sites:
Be1 0.0000 0.0000 0.0000 [1 per cell]  4 Pt 2.51, 4 As 2.61, 4 Be 2.80
Be2 0.0000 0.5000 0.5000 [1 per cell]  4 As 2.51, 4 Pt 2.61, 4 Be 2.80
As1 0.5000 0.0000 0.5000 [1 per cell]  8 Be 2.51-2.61, 4 Pt 2.80
Pt1 0.5000 0.5000 0.0000 [1 per cell]  8 Be 2.51-2.61, 4 As 2.80

VASP energy = -18.40 eV per cell
ΔE_f = -6 kJ per mole of atoms
total magnetic moment = 0.0 μB per formula unit

Record 7
A plane-wave DFT calculation with PBE-GGA was carried out for an optimized crystal structure of Li4MnHg.

Cell lengths 7.2212, 7.2212, 7.2212 Å; angles 90.00, 90.00, 90.00 degrees
Last column: nearest neighbours and their distance in Å.
Space group F-43m (No. 216)
Unique sites:
Li1 0.1250 0.1250 0.1250 [16 per cell]  6 Li 2.55
Mn1 0.2500 0.2500 0.7500 [4 per cell]  12 Li 2.99, 4 Hg 3.13
Hg1 0.0000 0.0000 0.5000 [4 per cell]  12 Li 2.99, 4 Mn 3.13

VASP energy = -66.11 eV per cell
ΔE_f = 10 kJ per mole of atoms
total magnetic moment = 3.6 μB per formula unit

Record 8
A plane-wave DFT calculation with PBE-GGA was carried out for an optimized crystal structure of Ca2PrPb3.

Cell lengths 5.1110, 15.5095, 9.2034 Å; angles 90.00, 90.00, 90.00 degrees
Last column: nearest neighbours and their distance in Å.
Space group Cmmm (No. 65)
Unique sites:
Ca1 0.0000 0.0000 0.0000 [2 per cell]  8 Pb 3.43-3.46, 4 Ca 3.62
Ca2 0.0000 0.0000 0.5000 [2 per cell]  8 Pb 3.45-3.47, 4 Pr 3.60
Ca3 0.0000 0.3344 0.0000 [4 per cell]  8 Pb 3.43-3.46, 4 Ca 3.62-3.66
Pr1 0.0000 0.3365 0.5000 [4 per cell]  8 Pb 3.43-3.50, 2 Ca 3.60, 2 Pr 3.71
Pb1 0.0000 0.1671 0.2486 [8 per cell]  5 Ca 3.43-3.47, 3 Pr 3.45-3.50, 4 Pb 3.63-3.64
Pb2 0.0000 0.5000 0.2487 [4 per cell]  6 Ca 3.43-3.45, 2 Pr 3.43, 4 Pb 3.64

VASP energy = -92.08 eV per cell
ΔE_f = -50 kJ per mole of atoms
total magnetic moment = 0.0 μB per formula unit